[1]
Below is crystalline Sm2DyIr at its relaxed geometry, with properties calculated at the PBE level.

The value obtained for the formation energy is -0.473 eV per atom. For the energy, the calculation gives -6.20 eV/atom.

a = 3.933 Å, b = 6.340 Å, c = 9.458 Å
α = 90.00°, β = 90.00°, γ = 108.07°
Fractional positions:
Ir (0.252, 0.504, 0.750)
Ir (0.748, 0.496, 0.250)
Dy (0.420, 0.840, 0.250)
Dy (0.580, 0.160, 0.750)
Sm (0.861, 0.721, 0.933)
Sm (0.139, 0.279, 0.067)
Sm (0.139, 0.279, 0.433)
Sm (0.861, 0.721, 0.567)

[2]
Below is crystalline SmDyIr4 at its relaxed geometry, with properties calculated at the PBE level.

The value obtained for the formation energy is -0.775 eV per atom. For the energy, the calculation gives -8.24 eV/atom.

a = 5.385 Å, b = 5.385 Å, c = 5.385 Å
α = 60.00°, β = 60.00°, γ = 60.00°
Fractional positions:
Ir (0.625, 0.125, 0.625)
Ir (0.125, 0.625, 0.625)
Ir (0.625, 0.625, 0.625)
Ir (0.625, 0.625, 0.125)
Dy (0.250, 0.250, 0.250)
Sm (0.000, 0.000, 0.000)

[3]
Below is crystalline Sm2DyIr3 at its relaxed geometry, with properties calculated at the PBE level.

The value obtained for the formation energy is -0.376 eV per atom. For the energy, the calculation gives -7.15 eV/atom.

a = 4.240 Å, b = 5.743 Å, c = 6.843 Å
α = 114.81°, β = 108.05°, γ = 90.00°
Fractional positions:
Ir (0.343, 0.343, 0.685)
Ir (0.657, 0.657, 0.315)
Ir (0.000, 0.000, 0.000)
Sm (0.669, 0.169, 0.339)
Sm (0.331, 0.831, 0.661)
Dy (0.000, 0.500, 0.000)